1.
# AsRuPt3 (PBE, relaxed)
data_AsRuPt3
_symmetry_space_group_name_H-M 'P 1'
_symmetry_Int_Tables_number 1
_cell_length_a 4.7799
_cell_length_b 4.7799
_cell_length_c 4.7799
_cell_angle_alpha 90.00
_cell_angle_beta 90.00
_cell_angle_gamma 90.00
loop_
_symmetry_equiv_pos_as_xyz
'x,y,z'
loop_
_atom_site_label
_atom_site_fract_x
_atom_site_fract_y
_atom_site_fract_z
Ru1 0.0000 0.0000 0.0000
As1 0.5000 0.5000 0.5000
Pt1 0.0000 0.5000 0.0000
Pt2 0.0000 0.0000 0.5000
Pt3 0.5000 0.0000 0.0000
# Calculated volume, Å³ per cell: 109
# Energy of formation from the pure elements, kJ/mol of formula units: 663
# Space group: Pm-3m (221)
# DOS at the Fermi energy, states/eV per atom: 1.2206
# Electronic total energy, eV for the cell shown: -25.2

2.
# Tb6Ce2SmDy3 (PBE, relaxed)
data_Tb6Ce2SmDy3
_symmetry_space_group_name_H-M 'P 1'
_symmetry_Int_Tables_number 1
_cell_length_a 6.1538
_cell_length_b 6.1538
_cell_length_c 11.7799
_cell_angle_alpha 95.00
_cell_angle_beta 95.00
_cell_angle_gamma 120.01
loop_
_symmetry_equiv_pos_as_xyz
'x,y,z'
loop_
_atom_site_label
_atom_site_fract_x
_atom_site_fract_y
_atom_site_fract_z
Tb1 0.9161 0.5801 0.7502
Tb2 0.7480 0.7480 0.2499
Tb3 0.0839 0.4199 0.2498
Tb4 0.5801 0.9161 0.7502
Tb5 0.2520 0.2520 0.7501
Tb6 0.4199 0.0839 0.2498
Ce1 0.3333 0.6667 0.0000
Ce2 0.6667 0.3333 0.0000
Sm1 0.0000 0.0000 0.0000
Dy1 0.1663 0.8337 0.5000
Dy2 0.8337 0.1663 0.5000
Dy3 0.5000 0.5000 0.5000
# Calculated volume, Å³ per cell: 380
# Energy of formation from the pure elements, kJ/mol of formula units: 56
# Space group: C2/m (12)
# DOS at the Fermi energy, states/eV per atom: 1.8537
# Electronic total energy, eV for the cell shown: -57.6

3.
# Pm4Ga5Au2 (PBE, relaxed)
data_Pm4Ga5Au2
_symmetry_space_group_name_H-M 'P 1'
_symmetry_Int_Tables_number 1
_cell_length_a 3.7818
_cell_length_b 7.2814
_cell_length_c 9.4473
_cell_angle_alpha 93.98
_cell_angle_beta 90.00
_cell_angle_gamma 90.00
loop_
_symmetry_equiv_pos_as_xyz
'x,y,z'
loop_
_atom_site_label
_atom_site_fract_x
_atom_site_fract_y
_atom_site_fract_z
Pm1 0.5000 0.7349 0.5693
Pm2 0.5000 0.1881 0.8852
Pm3 0.5000 0.2651 0.4307
Pm4 0.5000 0.8119 0.1148
Ga1 0.0000 0.5513 0.2971
Ga2 0.0000 0.1921 0.1574
Ga3 0.0000 0.5000 0.0000
Ga4 0.0000 0.8079 0.8426
Ga5 0.0000 0.4487 0.7029
Au1 0.0000 0.0719 0.6427
Au2 0.0000 0.9281 0.3573
# Calculated volume, Å³ per cell: 260
# Energy of formation from the pure elements, kJ/mol of formula units: -621
# Space group: P2/m (10)
# DOS at the Fermi energy, states/eV per atom: 0.7952
# Electronic total energy, eV for the cell shown: -47.1

4.
# La3In3Ag2 (PBE, relaxed)
data_La3In3Ag2
_symmetry_space_group_name_H-M 'P 1'
_symmetry_Int_Tables_number 1
_cell_length_a 4.8882
_cell_length_b 6.1604
_cell_length_c 16.3138
_cell_angle_alpha 90.00
_cell_angle_beta 90.00
_cell_angle_gamma 113.38
loop_
_symmetry_equiv_pos_as_xyz
'x,y,z'
loop_
_atom_site_label
_atom_site_fract_x
_atom_site_fract_y
_atom_site_fract_z
La1 0.9040 0.8080 0.3923
La2 0.0960 0.1920 0.8923
La3 0.9040 0.8080 0.1077
La4 0.0960 0.1920 0.6077
La5 0.6412 0.2824 0.2500
La6 0.3588 0.7176 0.7500
In1 0.6141 0.2282 0.4590
In2 0.3859 0.7718 0.9590
In3 0.6141 0.2282 0.0410
In4 0.3859 0.7718 0.5410
In5 0.3499 0.6999 0.2500
In6 0.6501 0.3001 0.7500
Ag1 0.7947 0.5895 0.8984
Ag2 0.2053 0.4105 0.3984
Ag3 0.7947 0.5895 0.6016
Ag4 0.2053 0.4105 0.1016
# Calculated volume, Å³ per cell: 451
# Energy of formation from the pure elements, kJ/mol of formula units: -337
# Space group: Cmcm (63)
# DOS at the Fermi energy, states/eV per atom: 0.9956
# Electronic total energy, eV for the cell shown: -64.4

5.
# Zn2SiIr (PBE, relaxed)
data_Zn2SiIr
_symmetry_space_group_name_H-M 'P 1'
_symmetry_Int_Tables_number 1
_cell_length_a 2.9357
_cell_length_b 3.6305
_cell_length_c 5.2912
_cell_angle_alpha 90.00
_cell_angle_beta 90.00
_cell_angle_gamma 90.00
loop_
_symmetry_equiv_pos_as_xyz
'x,y,z'
loop_
_atom_site_label
_atom_site_fract_x
_atom_site_fract_y
_atom_site_fract_z
Ir1 0.0000 0.0000 0.5274
Si1 0.5000 0.5000 0.7244
Zn1 0.0000 0.0000 0.0155
Zn2 0.5000 0.5000 0.2327
# Calculated volume, Å³ per cell: 56
# Space group: Pmm2 (25)
# DOS at the Fermi energy, states/eV per atom: 0.2465
# Electronic total energy, eV for the cell shown: -17.6

6.
# MnCdSb2I (PBE, relaxed)
data_MnCdSb2I
_symmetry_space_group_name_H-M 'P 1'
_symmetry_Int_Tables_number 1
_cell_length_a 5.5135
_cell_length_b 5.5135
_cell_length_c 5.9761
_cell_angle_alpha 90.00
_cell_angle_beta 90.00
_cell_angle_gamma 90.00
loop_
_symmetry_equiv_pos_as_xyz
'x,y,z'
loop_
_atom_site_label
_atom_site_fract_x
_atom_site_fract_y
_atom_site_fract_z
I1 0.0000 0.0000 0.5000
Sb1 0.0000 0.5000 0.0000
Sb2 0.5000 0.0000 0.0000
Mn1 0.5000 0.5000 0.5000
Cd1 0.0000 0.0000 0.0000
# Calculated volume, Å³ per cell: 182
# Space group: P4/mmm (123)
# DOS at the Fermi energy, states/eV per atom: 0.6171
# Electronic total energy, eV for the cell shown: -15.3

7.
# Hg2IrRh (PBE, relaxed)
data_Hg2IrRh
_symmetry_space_group_name_H-M 'P 1'
_symmetry_Int_Tables_number 1
_cell_length_a 5.9262
_cell_length_b 5.9262
_cell_length_c 5.9262
_cell_angle_alpha 151.84
_cell_angle_beta 131.81
_cell_angle_gamma 56.75
loop_
_symmetry_equiv_pos_as_xyz
'x,y,z'
loop_
_atom_site_label
_atom_site_fract_x
_atom_site_fract_y
_atom_site_fract_z
Hg1 0.9826 0.9826 0.0000
Hg2 0.2697 0.7697 0.5000
Ir1 0.5203 0.5203 0.0000
Rh1 0.7273 0.2273 0.5000
# Calculated volume, Å³ per cell: 73
# Energy of formation from the pure elements, kJ/mol of formula units: 150
# Space group: Imm2 (44)
# DOS at the Fermi energy, states/eV per atom: 0.8319
# Electronic total energy, eV for the cell shown: -15.3

8.
# SiPbSe (PBE, relaxed)
data_SiPbSe
_symmetry_space_group_name_H-M 'P 1'
_symmetry_Int_Tables_number 1
_cell_length_a 7.8407
_cell_length_b 7.3607
_cell_length_c 3.6277
_cell_angle_alpha 83.70
_cell_angle_beta 68.92
_cell_angle_gamma 27.38
loop_
_symmetry_equiv_pos_as_xyz
'x,y,z'
loop_
_atom_site_label
_atom_site_fract_x
_atom_site_fract_y
_atom_site_fract_z
Pb1 0.0085 0.0085 0.9915
Se1 0.3027 0.3027 0.6973
Si1 0.6888 0.6888 0.3112
# Calculated volume, Å³ per cell: 78
# Space group: Fmm2 (42)
# DOS at the Fermi energy, states/eV per atom: 0.5921
# Electronic total energy, eV for the cell shown: -11.9

9.
# Tb3TmSe6 (PBE, relaxed)
data_Tb3TmSe6
_symmetry_space_group_name_H-M 'P 1'
_symmetry_Int_Tables_number 1
_cell_length_a 8.3928
_cell_length_b 8.3928
_cell_length_c 8.3928
_cell_angle_alpha 90.97
_cell_angle_beta 90.97
_cell_angle_gamma 90.97
loop_
_symmetry_equiv_pos_as_xyz
'x,y,z'
loop_
_atom_site_label
_atom_site_fract_x
_atom_site_fract_y
_atom_site_fract_z
Tb1 0.4294 0.9206 0.7540
Tb2 0.9206 0.7540 0.4294
Tb3 0.2460 0.5706 0.0794
Tb4 0.7540 0.4294 0.9206
Tb5 0.0794 0.2460 0.5706
Tb6 0.5706 0.0794 0.2460
Tm1 0.0000 0.0000 0.0000
Tm2 0.5000 0.5000 0.5000
Se1 0.3130 0.9125 0.0844
Se2 0.0875 0.9156 0.6870
Se3 0.5905 0.8171 0.4611
Se4 0.9156 0.6870 0.0875
Se5 0.4611 0.5905 0.8171
Se6 0.1829 0.5389 0.4095
Se7 0.8171 0.4611 0.5905
Se8 0.5389 0.4095 0.1829
Se9 0.0844 0.3130 0.9125
Se10 0.4095 0.1829 0.5389
Se11 0.9125 0.0844 0.3130
Se12 0.6870 0.0875 0.9156
# Calculated volume, Å³ per cell: 591
# Space group: R-3 (148)
# DOS at the Fermi energy, states/eV per atom: 0.0000
# Electronic total energy, eV for the cell shown: -115.6

10.
# Tb9Ho4Mg11 (PBE, relaxed)
data_Tb9Ho4Mg11
_symmetry_space_group_name_H-M 'P 1'
_symmetry_Int_Tables_number 1
_cell_length_a 3.6151
_cell_length_b 13.9409
_cell_length_c 13.9409
_cell_angle_alpha 107.75
_cell_angle_beta 90.00
_cell_angle_gamma 90.00
loop_
_symmetry_equiv_pos_as_xyz
'x,y,z'
loop_
_atom_site_label
_atom_site_fract_x
_atom_site_fract_y
_atom_site_fract_z
Tb1 0.5000 0.6217 0.1544
Tb2 0.5000 0.3783 0.8456
Tb3 0.5000 0.1544 0.6217
Tb4 0.5000 0.8456 0.3783
Tb5 0.5000 0.7924 0.9791
Tb6 0.5000 0.2076 0.0209
Tb7 0.5000 0.9791 0.7924
Tb8 0.5000 0.0209 0.2076
Tb9 0.5000 0.5000 0.5000
Ho1 0.5000 0.5810 0.7495
Ho2 0.5000 0.4190 0.2505
Ho3 0.5000 0.7495 0.5810
Ho4 0.5000 0.2505 0.4190
Mg1 0.0000 0.5883 0.9464
Mg2 0.0000 0.4117 0.0536
Mg3 0.0000 0.9464 0.5883
Mg4 0.0000 0.0536 0.4117
Mg5 0.0000 0.6324 0.3676
Mg6 0.0000 0.3676 0.6324
Mg7 0.0000 0.8215 0.1785
Mg8 0.0000 0.1785 0.8215
Mg9 0.0000 0.0000 0.0000
Mg10 0.0000 0.7833 0.7833
Mg11 0.0000 0.2167 0.2167
# Calculated volume, Å³ per cell: 669
# Energy of formation from the pure elements, kJ/mol of formula units: -64
# Space group: Cmmm (65)
# DOS at the Fermi energy, states/eV per atom: 1.1985
# Electronic total energy, eV for the cell shown: -78.2

11.
# TmThC (PBE, relaxed)
data_TmThC
_symmetry_space_group_name_H-M 'P 1'
_symmetry_Int_Tables_number 1
_cell_length_a 3.5981
_cell_length_b 6.2524
_cell_length_c 6.5162
_cell_angle_alpha 98.55
_cell_angle_beta 106.03
_cell_angle_gamma 90.00
loop_
_symmetry_equiv_pos_as_xyz
'x,y,z'
loop_
_atom_site_label
_atom_site_fract_x
_atom_site_fract_y
_atom_site_fract_z
Th1 0.6319 0.3784 0.2639
Th2 0.3681 0.6216 0.7361
C1 0.2478 0.2492 0.4957
C2 0.7522 0.7508 0.5043
Tm1 0.8564 0.1173 0.7128
Tm2 0.1436 0.8827 0.2872
# Calculated volume, Å³ per cell: 139
# Energy of formation from the pure elements, kJ/mol of formula units: -76
# Space group: C2/m (12)
# DOS at the Fermi energy, states/eV per atom: 1.0569
# Electronic total energy, eV for the cell shown: -43.8

12.
# CaZnCr2 (PBE, relaxed)
data_CaZnCr2
_symmetry_space_group_name_H-M 'P 1'
_symmetry_Int_Tables_number 1
_cell_length_a 4.1343
_cell_length_b 4.1343
_cell_length_c 9.9160
_cell_angle_alpha 77.97
_cell_angle_beta 77.97
_cell_angle_gamma 90.00
loop_
_symmetry_equiv_pos_as_xyz
'x,y,z'
loop_
_atom_site_label
_atom_site_fract_x
_atom_site_fract_y
_atom_site_fract_z
Cr1 0.8750 0.1250 0.2500
Cr2 0.8750 0.6250 0.2500
Cr3 0.3750 0.1250 0.7500
Cr4 0.8750 0.1250 0.7500
Zn1 0.0000 0.0000 0.0000
Zn2 0.7500 0.2500 0.5000
Ca1 0.5000 0.5000 0.0000
Ca2 0.2500 0.7500 0.5000
# Calculated volume, Å³ per cell: 162
# Energy of formation from the pure elements, kJ/mol of formula units: 319
# Space group: I4_1/amd (141)
# DOS at the Fermi energy, states/eV per atom: 1.1616
# Electronic total energy, eV for the cell shown: -38.4

> What is the formula in the first record?

AsRuPt3